Entry from Alexandria via LeMat-Bulk: a geometry-optimized K2WO4 structure (GGA+U).

a = 6.302 Å, b = 8.148 Å, c = 12.562 Å
α = 90.00°, β = 115.53°, γ = 90.00°
Element x y z (fractional)
K (0.000, 0.000, 0.250)
K (0.000, 0.000, 0.750)
K (0.000, 0.500, 0.250)
K (0.000, 0.500, 0.750)
K (0.311, 0.248, 0.093)
K (0.311, 0.252, 0.593)
K (0.689, 0.748, 0.407)
K (0.689, 0.752, 0.907)
W (0.352, 0.749, 0.074)
W (0.352, 0.751, 0.574)
W (0.648, 0.249, 0.426)
W (0.648, 0.251, 0.926)
O (0.235, 0.749, 0.913)
O (0.235, 0.751, 0.413)
O (0.250, 0.571, 0.622)
O (0.250, 0.929, 0.122)
O (0.253, 0.567, 0.123)
O (0.253, 0.933, 0.623)
O (0.327, 0.249, 0.865)
O (0.327, 0.251, 0.365)
O (0.673, 0.749, 0.635)
O (0.673, 0.751, 0.135)
O (0.747, 0.067, 0.377)
O (0.747, 0.433, 0.877)
O (0.750, 0.071, 0.878)
O (0.750, 0.429, 0.378)
O (0.765, 0.249, 0.587)
O (0.765, 0.251, 0.087)

Total moment   0.39 μB/cell
Total DFT energy (no corrections)   -6.229 eV per atom
Density of states at the Fermi level   0.00 states/eV/cell
Energy above the lowest structure with this stoichiometry   0.02 eV/f.u.